Here is crystalline La4TcTeBr2 at its relaxed geometry from the Alexandria database. Energies are from PBE.

The calculation puts the spin magnetization at 0.0 μB per cell. The calculation puts the total energy at -5.633 eV per atom. Its crystal system is monoclinic.

It has space group P2/m (No. 10), with a = 7.8905 Å, b = 4.2866 Å, c = 8.0195 Å, α = 90.00°, β = 106.65° and γ = 90.00°. The asymmetric unit holds La at (0.2098, 0.0000, 0.2853), La at (0.2114, 0.5000, 0.7096), Tc at (0.0000, 0.0000, 0.5000), Te at (0.0000, 0.5000, 0.0000), Br at (0.5000, 0.0000, 0.0000) and Br at (0.5000, 0.5000, 0.5000).